1.
5
Lattice="-5.199 2.177 0.672 0.147 -0.791 3.700 2.268 5.107 1.002" Properties=species:S:1:pos:R:3 comment="SnRhBr2N PBE optimized geometry" rho_g_cm3=5.38 crystal_system=tetragonal raw_formation_energy_mev_per_atom=946 pbc="T T T"
Rh -1.392 3.246 2.687
Sn 0.000 0.000 0.000
Br 1.134 2.553 0.501
Br -2.600 1.088 0.336
N 0.073 -0.395 1.850

---

2.
5
Lattice="4.968 0.000 0.000 0.000 5.768 0.000 0.000 0.000 4.968" Properties=species:S:1:pos:R:3 comment="SrRhBr2N PBE optimized geometry" rho_g_cm3=4.25 crystal_system=tetragonal raw_formation_energy_mev_per_atom=424 pbc="T T T"
Br 0.000 0.000 2.484
Rh 0.000 0.000 0.000
N 2.484 2.884 2.484
Br 2.484 0.000 0.000
Sr 0.000 2.884 0.000

---

3.
5
Lattice="-2.337 -4.873 -1.326 4.953 -2.496 0.446 -0.638 -0.643 3.487" Properties=species:S:1:pos:R:3 comment="Te2RhBrN PBE optimized geometry" rho_g_cm3=6.73 crystal_system=tetragonal raw_formation_energy_mev_per_atom=1607 relative_energy_ev_per_fu=5.823 pbc="T T T"
Te -1.168 -2.436 -0.663
N -0.319 -0.321 1.743
Br 0.000 0.000 0.000
Rh 0.989 -4.006 1.304
Te 2.476 -1.248 0.223

---

4.
5
Lattice="5.643 0.000 0.000 0.000 5.643 0.000 0.000 0.000 3.633" Properties=species:S:1:pos:R:3 comment="Te2RhBrN PBE optimized geometry" rho_g_cm3=6.49 crystal_system=tetragonal raw_formation_energy_mev_per_atom=442 relative_energy_ev_per_fu=0.000 pbc="T T T"
Rh 0.000 0.000 0.000
N 0.000 0.000 1.817
Te 0.000 2.821 0.000
Br 2.821 2.821 1.817
Te 2.821 0.000 0.000

---

5.
5
Lattice="4.576 0.000 0.000 0.000 4.470 0.000 0.000 0.000 4.576" Properties=species:S:1:pos:R:3 comment="YRh2BrN PBE optimized geometry" rho_g_cm3=6.89 crystal_system=tetragonal raw_formation_energy_mev_per_atom=905 pbc="T T T"
Rh 0.000 0.000 2.288
Br 0.000 0.000 0.000
Y 2.288 2.235 2.288
N 0.000 2.235 0.000
Rh 2.288 0.000 0.000

---

6.
8
Lattice="5.073 0.000 0.000 0.000 5.073 0.000 2.536 2.536 5.121" Properties=species:S:1:pos:R:3 comment="Ru2BrN PBE optimized geometry" rho_g_cm3=7.46 crystal_system=tetragonal raw_formation_energy_mev_per_atom=497 relative_energy_ev_per_fu=0.000 pbc="T T T"
Ru 3.272 1.268 1.280
Ru 6.341 5.809 3.841
Ru 1.800 3.805 1.280
N 2.536 2.536 0.000
N 2.536 5.073 2.561
Br 5.073 2.536 2.561
Br 0.000 0.000 0.000
Ru 3.805 4.337 3.841

---

7.
5
Lattice="4.977 0.000 0.000 0.000 4.977 0.000 0.000 0.000 4.977" Properties=species:S:1:pos:R:3 comment="RuBr3N PBE optimized geometry" rho_g_cm3=4.78 crystal_system=cubic raw_formation_energy_mev_per_atom=1536 relative_energy_ev_per_fu=0.069 pbc="T T T"
Ru 0.000 0.000 0.000
N 2.489 2.489 2.489
Br 0.000 2.489 0.000
Br 0.000 0.000 2.489
Br 2.489 0.000 0.000

---

8.
5
Lattice="-2.989 1.388 3.346 2.559 -2.262 3.224 2.564 3.875 0.683" Properties=species:S:1:pos:R:3 comment="RuBr3N PBE optimized geometry" rho_g_cm3=5.69 crystal_system=cubic raw_formation_energy_mev_per_atom=1522 relative_energy_ev_per_fu=0.000 pbc="T T T"
Br -1.495 0.694 1.673
Ru 1.067 1.501 3.627
N 0.000 0.000 0.000
Br 1.280 -1.131 1.612
Br 1.282 1.938 0.342

---

9.
8
Lattice="5.934 0.000 0.000 0.000 5.934 0.000 2.967 2.967 4.199" Properties=species:S:1:pos:R:3 comment="RuBrN2 PBE optimized geometry" rho_g_cm3=4.69 crystal_system=tetragonal raw_formation_energy_mev_per_atom=799 relative_energy_ev_per_fu=0.000 pbc="T T T"
N 5.927 4.450 1.050
Ru 0.000 0.000 0.000
N 5.940 1.483 1.050
Br 2.967 5.934 2.099
N 7.417 2.973 3.149
N 4.450 2.960 3.149
Ru 5.934 2.967 2.099
Br 2.967 2.967 0.000

---

10.
4
Lattice="0.047 -4.111 -1.888 -3.754 -2.525 -0.015 -2.216 -0.735 -3.875" Properties=species:S:1:pos:R:3 comment="RuBr2N PBE optimized geometry" rho_g_cm3=6.97 crystal_system=cubic raw_formation_energy_mev_per_atom=1688 relative_energy_ev_per_fu=1.087 pbc="T T T"
Ru -2.961 -3.686 -2.889
Br -4.442 -5.529 -4.333
N 0.000 0.000 0.000
Br -1.481 -1.843 -1.444

---

11.
6
Lattice="3.261 -0.852 0.110 -2.259 4.685 0.002 0.166 -0.302 8.831" Properties=species:S:1:pos:R:3 comment="RuBrN PBE optimized geometry" rho_g_cm3=5.49 crystal_system=monoclinic raw_formation_energy_mev_per_atom=160 pbc="T T T"
Ru 1.469 2.580 3.818
Br -0.107 3.048 1.800
N 1.378 0.547 4.061
Br 1.275 0.484 7.144
N -0.211 2.985 4.883
Ru -0.302 0.952 5.126

---

12.
8
Lattice="6.192 0.000 0.000 0.000 6.192 0.000 3.096 3.096 4.068" Properties=species:S:1:pos:R:3 comment="RuBr2N PBE optimized geometry" rho_g_cm3=5.85 crystal_system=tetragonal raw_formation_energy_mev_per_atom=1583 relative_energy_ev_per_fu=0.665 pbc="T T T"
Br 7.740 7.723 3.051
Br 4.627 1.548 1.017
Ru 0.000 0.000 0.000
N 3.096 6.192 2.034
Br 4.644 4.662 3.051
Br 1.566 4.644 1.017
Ru 6.192 3.096 2.034
N 3.096 3.096 0.000

---

13.
4
Lattice="-6.483 2.424 4.126 -5.724 -0.319 5.663 -4.208 2.435 6.426" Properties=species:S:1:pos:R:3 comment="RuBr2N PBE optimized geometry" rho_g_cm3=6.43 crystal_system=trigonal raw_formation_energy_mev_per_atom=1716 relative_energy_ev_per_fu=1.198 pbc="T T T"
Ru 0.000 0.000 0.000
N -8.208 2.270 8.108
Br -1.640 0.454 1.620
Br -14.775 4.087 14.596

---

14.
4
Lattice="4.071 0.847 5.614 5.843 1.934 3.305 3.683 3.757 4.596" Properties=species:S:1:pos:R:3 comment="RuBrN2 PBE optimized geometry" rho_g_cm3=6.15 crystal_system=trigonal raw_formation_energy_mev_per_atom=1805 relative_energy_ev_per_fu=4.024 pbc="T T T"
N 1.222 0.588 1.215
N 12.374 5.950 12.301
Br 6.798 3.269 6.758
Ru 0.000 0.000 0.000

---

15.
4
Lattice="1.808 0.000 6.249 -0.904 1.566 6.249 -0.904 -1.566 6.249" Properties=species:S:1:pos:R:3 comment="RuBrN2 PBE optimized geometry" rho_g_cm3=6.54 crystal_system=trigonal raw_formation_energy_mev_per_atom=913 relative_energy_ev_per_fu=0.456 pbc="T T T"
Br 0.000 0.000 0.000
N 0.000 0.000 16.639
N 0.000 0.000 2.107
Ru 0.000 0.000 9.373

---

16.
4
Lattice="-5.153 -2.274 4.556 -5.866 -4.027 1.360 -3.258 -5.338 3.656" Properties=species:S:1:pos:R:3 comment="RuBr2N PBE optimized geometry" rho_g_cm3=5.52 crystal_system=trigonal raw_formation_energy_mev_per_atom=1416 relative_energy_ev_per_fu=0.000 pbc="T T T"
Ru -7.139 -5.820 4.786
N 0.000 0.000 0.000
Br -1.424 -1.161 0.955
Br -12.853 -10.478 8.617

---

17.
4
Lattice="0.000 2.805 2.805 2.805 0.000 2.805 2.805 2.805 0.000" Properties=species:S:1:pos:R:3 comment="RuBrN2 PBE optimized geometry" rho_g_cm3=7.87 crystal_system=cubic raw_formation_energy_mev_per_atom=2200 relative_energy_ev_per_fu=5.604 pbc="T T T"
Br 0.000 0.000 0.000
N 1.402 1.402 1.402
Ru 2.805 2.805 2.805
N 4.207 4.207 4.207

---

18.
4
Lattice="3.027 -2.744 0.904 -0.068 -2.066 3.638 -0.842 -4.098 0.063" Properties=species:S:1:pos:R:3 comment="Ru2BrN PBE optimized geometry" rho_g_cm3=9.49 crystal_system=cubic raw_formation_energy_mev_per_atom=1414 relative_energy_ev_per_fu=3.665 pbc="T T T"
Br 1.058 -4.454 2.303
N 0.000 0.000 0.000
Ru 0.529 -2.227 1.152
Ru 1.587 -6.682 3.455

---

19.
7
Lattice="5.033 0.000 0.000 0.000 5.033 0.000 2.516 2.516 9.041" Properties=species:S:1:pos:R:3 comment="Ru2Br4N PBE optimized geometry" rho_g_cm3=3.89 crystal_system=tetragonal raw_formation_energy_mev_per_atom=1111 pbc="T T T"
Br 2.516 2.516 3.496
Br 5.033 5.033 5.546
Br 2.516 0.000 0.000
Ru 2.516 2.516 1.090
N 0.000 0.000 0.000
Ru 5.033 5.033 7.952
Br 0.000 2.516 0.000

---

20.
8
Lattice="-5.300 -1.497 -5.997 1.969 -2.458 -6.654 -3.238 -6.532 -1.039" Properties=species:S:1:pos:R:3 comment="RuBr5N2 PBE optimized geometry" rho_g_cm3=2.87 crystal_system=tetragonal raw_formation_energy_mev_per_atom=1245 pbc="T T T"
Br -2.889 -4.240 -1.669
Br 0.286 -1.757 -5.091
N -1.861 -4.840 -5.235
Ru 1.809 -2.503 -6.835
Br -2.962 -9.464 -9.605
Br -5.413 -3.723 -5.099
Br -3.380 -2.132 -7.294
N -4.511 -5.591 -8.232